1.
# BeCrSnPb2

An optimized crystal structure of BeCrSnPb2 (PBE, Alexandria via LeMat-Bulk).

Properties
Symmetry: No. 123
Formation energy: 30.19 kcal/mol of atoms
Total magnetic moment: 3.99 μB/cell

Unit cell a=5.841 b=5.841 c=5.129 alpha=90.00 beta=90.00 gamma=90.00
Each line ends with the local moment (μB).
Atoms (fractional coordinates):
Cr (0.000, 0.000, 0.500)  3.84
Pb (0.000, 0.500, 0.000)  -0.06
Sn (0.000, 0.000, 0.000)  -0.08
Pb (0.500, 0.000, 0.000)  -0.06
Be (0.500, 0.500, 0.500)  -0.01

=====

2.
# TaBe2CrPb

An optimized crystal structure of TaBe2CrPb (PBE, Alexandria via LeMat-Bulk).

Properties
Symmetry: No. 123
Formation energy: 45.14 kcal/mol of atoms
Total magnetic moment: 0.02 μB/cell

Unit cell a=4.328 b=4.916 c=4.328 alpha=90.00 beta=90.00 gamma=90.00
Atoms (fractional coordinates):
Be (0.500, 0.000, 0.000)
Cr (0.000, 0.500, 0.000)
Be (0.000, 0.000, 0.500)
Ta (0.500, 0.500, 0.500)
Pb (0.000, 0.000, 0.000)

=====

3.
# BeCrPd

An optimized crystal structure of BeCrPd (PBE, Alexandria via LeMat-Bulk).

Properties
Symmetry: No. 38
Formation energy: -3.76 kcal/mol of atoms
Total magnetic moment: 0.00 μB/cell

Unit cell a=4.180 b=6.155 c=2.927 alpha=90.00 beta=90.00 gamma=109.87
Atoms (fractional coordinates):
Pd (0.247, 0.042, 0.076)
Be (0.081, 0.710, 0.576)
Cr (0.576, 0.701, 0.076)
Cr (0.712, 0.973, 0.575)
Pd (0.918, 0.385, 0.076)
Be (0.405, 0.358, 0.577)

=====

4.
# BeCrPd

An optimized crystal structure of BeCrPd (PBE, Alexandria via LeMat-Bulk).

Properties
Symmetry: No. 12
Formation energy: -2.92 kcal/mol of atoms
Total magnetic moment: 0.00 μB/cell

Unit cell a=3.937 b=4.693 c=4.708 alpha=66.28 beta=90.01 gamma=65.21
Atoms (fractional coordinates):
Cr (0.669, 0.013, 0.384)
Pd (0.332, 0.687, 0.231)
Pd (0.981, 0.390, 0.935)
Be (0.305, 0.740, 0.713)
Cr (0.644, 0.064, 0.782)
Be (0.007, 0.336, 0.453)

=====

Q: Which of these has the highest total magnetic moment?
A: BeCrSnPb2

=====

Q: Which formula does entry 4 have?
A: BeCrPd

=====

Q: Which of these has the highest formation energy?
A: TaBe2CrPb

=====

Q: formation energy of number 2 (TaBe2CrPb)?
A: 45.14 kcal/mol of atoms